(1)
First-principles (PBE) data for crystalline Ac12GaNi6 at its relaxed geometry, as listed in Alexandria.

a = 9.219 Å, b = 9.219 Å, c = 9.219 Å
α = 109.47°, β = 109.47°, γ = 109.47°
Sites, in units of the cell vectors:
Ac (0.129, 0.310, 0.819)
Ac (0.181, 0.491, 0.310)
Ac (0.181, 0.871, 0.690)
Ac (0.310, 0.181, 0.491)
Ac (0.310, 0.819, 0.129)
Ac (0.491, 0.310, 0.181)
Ac (0.509, 0.690, 0.819)
Ac (0.690, 0.181, 0.871)
Ac (0.690, 0.819, 0.509)
Ac (0.819, 0.129, 0.310)
Ac (0.819, 0.509, 0.690)
Ac (0.871, 0.690, 0.181)
Ga (0.000, 0.000, 0.000)
Ni (0.119, 0.500, 0.619)
Ni (0.381, 0.881, 0.500)
Ni (0.500, 0.381, 0.881)
Ni (0.500, 0.619, 0.119)
Ni (0.619, 0.119, 0.500)
Ni (0.881, 0.500, 0.381)

Summary:
**Volume**: 603.2 Å³/f.u.
**SG**: Im-3

***

(2)
First-principles (PBE) data for crystalline ReMo at its relaxed geometry, as listed in Alexandria.

a = 3.142 Å, b = 4.411 Å, c = 4.457 Å
α = 90.00°, β = 90.00°, γ = 90.00°
Sites, in units of the cell vectors:
Re (0.000, 0.000, 0.000)
Re (0.500, 0.500, 0.000)
Mo (0.000, 0.500, 0.500)
Mo (0.500, 0.000, 0.500)

Summary:
**Volume**: 30.9 Å³/f.u.
**Offset from the most stable computed form**: 0.02 eV per formula unit
**SG**: Cmmm

***

no.,calculated formation energy (meV/atom),Fermi-level density of states (states/eV/cell),calculated total energy (eV per atom)
1,-221,15.138,-4.80
2,104,3.142,-11.54